A plane-wave DFT calculation with PBE was carried out for a geometry-optimized Er2TmIn3 structure.

## Properties
Total magnetic moment (μB/f.u.): 0.0
ρ (g/cm³): 9.11
Final energy (eV per cell): -24.44
Formation enthalpy at 0 K (eV per atom): -0.44
DOS at the Fermi energy (states/eV/atom): 0.56

Lattice parameters (Å, degrees): 3.522 3.522 12.463 90.00 90.00 90.00
Space group P4/mmm (No. 123)
Unique sites:
Er  0.000  0.000  0.167
Tm  0.000  0.000  0.500
In  0.500  0.500  0.000
In  0.500  0.500  0.334

=====

A plane-wave DFT calculation with PBE was carried out for a geometry-optimized Mg2TaZn structure.

## Properties
Total magnetic moment (μB/f.u.): 0.0
ρ (g/cm³): 6.66
Final energy (eV per cell): -29.74
Formation enthalpy at 0 K (eV per atom): 0.36
DOS at the Fermi energy (states/eV/atom): 1.05

Lattice parameters (Å, degrees): 3.964 3.964 9.354 90.00 90.00 90.00
Space group I4/mmm (No. 139)
Unique sites:
Mg  0.000  0.500  0.250
Ta  0.000  0.000  0.000
Zn  0.000  0.000  0.500